Entry from Alexandria: PmTh2As2Rh7 after structural relaxation (PBE).

Properties
Space-group type ... C2/m (12)
Energy ... -7.46 eV per atom

Unit cell a=4.106 b=4.106 c=13.514 alpha=84.16 beta=84.16 gamma=89.35
Element x y z (fractional)
Th: 0.108 0.108 0.650
Th: 0.892 0.892 0.350
Rh: 0.947 0.446 0.162
Rh: 0.662 0.662 0.563
Rh: 0.446 0.947 0.162
Rh: 0.554 0.053 0.838
Rh: 0.053 0.554 0.838
Rh: 0.500 0.500 0.000
Rh: 0.338 0.338 0.437
As: 0.417 0.417 0.256
As: 0.583 0.583 0.744
Pm: 0.000 0.000 0.000

=====

Entry from Alexandria: Pm2TiAs4Rh3 after structural relaxation (PBE).

Properties
Space-group type ... P-4m2 (115)
Energy ... -6.74 eV per atom

Unit cell a=4.276 b=4.276 c=10.319 alpha=90.00 beta=90.00 gamma=90.00
Element x y z (fractional)
Rh: 0.000 0.500 0.120
Rh: 0.500 0.000 0.880
Rh: 0.000 0.000 0.500
As: 0.000 0.500 0.360
As: 0.500 0.500 0.000
As: 0.500 0.000 0.640
As: 0.000 0.000 0.000
Pm: 0.000 0.500 0.765
Pm: 0.500 0.000 0.235
Ti: 0.500 0.500 0.500

=====

Entry from Alexandria: Pm2TiAs3Rh4 after structural relaxation (PBE).

Properties
Space-group type ... P-4m2 (115)
Energy ... -7.03 eV per atom

Unit cell a=4.109 b=4.109 c=10.837 alpha=90.00 beta=90.00 gamma=90.00
Element x y z (fractional)
As: 0.500 0.000 0.863
As: 0.000 0.000 0.500
As: 0.000 0.500 0.137
Rh: 0.000 0.000 0.000
Rh: 0.500 0.500 0.000
Rh: 0.500 0.000 0.637
Rh: 0.000 0.500 0.363
Ti: 0.500 0.500 0.500
Pm: 0.000 0.500 0.765
Pm: 0.500 0.000 0.235

=====

Entry from Alexandria: PmTlAs2Rh5 after structural relaxation (PBE).

Properties
Space-group type ... P4/mmm (123)
Energy ... -6.23 eV per atom

Unit cell a=4.092 b=4.092 c=10.906 alpha=90.00 beta=90.00 gamma=90.00
Element x y z (fractional)
Rh: 0.000 0.500 0.173
Rh: 0.500 0.000 0.173
Rh: 0.500 0.000 0.827
Rh: 0.500 0.500 0.500
Rh: 0.000 0.500 0.827
As: 0.500 0.500 0.283
As: 0.500 0.500 0.717
Tl: 0.000 0.000 0.000
Pm: 0.000 0.000 0.500

=====

Entry from Alexandria: Pm2TmAs3Rh4 after structural relaxation (PBE).

Properties
Space-group type ... P-4m2 (115)
Energy ... -6.71 eV per atom

Unit cell a=4.113 b=4.113 c=11.396 alpha=90.00 beta=90.00 gamma=90.00
Element x y z (fractional)
Rh: 0.500 0.500 0.000
Rh: 0.000 0.500 0.342
Rh: 0.000 0.000 0.000
Rh: 0.500 0.000 0.658
As: 0.500 0.000 0.871
As: 0.000 0.500 0.129
As: 0.000 0.000 0.500
Pm: 0.000 0.500 0.774
Pm: 0.500 0.000 0.226
Tm: 0.500 0.500 0.500

=====

Entry from Alexandria: Pm2VAs4Rh3 after structural relaxation (PBE).

Properties
Space-group type ... P-4m2 (115)
Energy ... -6.79 eV per atom

Unit cell a=4.292 b=4.292 c=10.110 alpha=90.00 beta=90.00 gamma=90.00
Element x y z (fractional)
Pm: 0.000 0.500 0.761
Pm: 0.500 0.000 0.239
Rh: 0.000 0.500 0.122
Rh: 0.000 0.000 0.500
Rh: 0.500 0.000 0.878
As: 0.000 0.000 0.000
As: 0.500 0.000 0.633
As: 0.000 0.500 0.367
As: 0.500 0.500 0.000
V: 0.500 0.500 0.500

=====

Entry from Alexandria: Pm2ZnAs3Rh4 after structural relaxation (PBE).

Properties
Space-group type ... P-4m2 (115)
Energy ... -6.30 eV per atom

Unit cell a=4.209 b=4.209 c=10.256 alpha=90.00 beta=90.00 gamma=90.00
Element x y z (fractional)
Rh: 0.500 0.000 0.630
Rh: 0.500 0.500 0.000
Rh: 0.000 0.500 0.370
Rh: 0.000 0.000 0.000
Pm: 0.000 0.500 0.747
Pm: 0.500 0.000 0.253
Zn: 0.500 0.500 0.500
As: 0.500 0.000 0.864
As: 0.000 0.000 0.500
As: 0.000 0.500 0.136

=====

Entry from Alexandria: PmZnAs2Rh5 after structural relaxation (PBE).

Properties
Space-group type ... P4/mmm (123)
Energy ... -6.18 eV per atom

Unit cell a=4.106 b=4.106 c=10.140 alpha=90.00 beta=90.00 gamma=90.00
Element x y z (fractional)
Pm: 0.000 0.000 0.500
As: 0.500 0.500 0.733
As: 0.500 0.500 0.267
Rh: 0.500 0.000 0.851
Rh: 0.500 0.500 0.500
Rh: 0.000 0.500 0.851
Rh: 0.500 0.000 0.149
Rh: 0.000 0.500 0.149
Zn: 0.000 0.000 0.000

=====

Entry from Alexandria: Pm2ZrAs3Rh4 after structural relaxation (PBE).

Properties
Space-group type ... P-4m2 (115)
Energy ... -7.10 eV per atom

Unit cell a=4.122 b=4.122 c=11.164 alpha=90.00 beta=90.00 gamma=90.00
Element x y z (fractional)
As: 0.000 0.000 0.500
As: 0.000 0.500 0.134
As: 0.500 0.000 0.866
Rh: 0.000 0.000 0.000
Rh: 0.500 0.000 0.647
Rh: 0.500 0.500 0.000
Rh: 0.000 0.500 0.353
Pm: 0.000 0.500 0.775
Pm: 0.500 0.000 0.225
Zr: 0.500 0.500 0.500

=====

Entry from Alexandria: PmAs3Ru5 after structural relaxation (PBE).

Properties
Space-group type ... Cmcm (63)
Energy ... -7.53 eV per atom

Unit cell a=4.000 b=6.666 c=12.222 alpha=90.00 beta=90.00 gamma=107.46
Element x y z (fractional)
As: 0.616 0.233 0.451
As: 0.875 0.749 0.250
As: 0.125 0.251 0.750
As: 0.616 0.233 0.049
As: 0.384 0.767 0.549
As: 0.384 0.767 0.951
Ru: 0.200 0.400 0.929
Ru: 0.800 0.600 0.429
Ru: 0.200 0.400 0.571
Ru: 0.000 0.000 0.500
Ru: 0.445 0.890 0.147
Ru: 0.445 0.890 0.353
Ru: 0.800 0.600 0.071
Ru: 0.555 0.110 0.853
Ru: 0.555 0.110 0.647
Ru: 0.000 0.000 0.000
Pm: 0.172 0.344 0.250
Pm: 0.828 0.656 0.750

=====

Entry from Alexandria: PmAsRu after structural relaxation (PBE).

Properties
Space-group type ... P3m1 (156)
Polymorph energy (0 for the lowest one) ... 0.000 eV per atom
Energy ... -6.91 eV per atom

Unit cell a=4.122 b=4.232 c=4.232 alpha=120.00 beta=90.00 gamma=90.00
Element x y z (fractional)
Pm: 0.666 0.667 0.333
As: 0.166 0.000 0.000
Ru: 0.167 0.333 0.667